Material: RbCaMoF6
Method: DFT, PBE+U
State: relaxed

Cell: 7.973 7.991 8.057 Å, 119.73 119.66 90.00°
Sites, in units of the cell vectors:
Rb 0.918 0.668 0.836
Rb 0.082 0.332 0.164
Ca 0.500 0.000 0.500
Ca 0.000 0.000 0.500
Mo 0.500 0.500 0.000
Mo 0.500 0.000 0.000
F 0.440 0.690 0.881
F 0.837 0.087 0.674
F 0.812 0.076 0.240
F 0.428 0.663 0.240
F 0.428 0.076 0.240
F 0.812 0.663 0.240
F 0.560 0.310 0.119
F 0.163 0.913 0.326
F 0.188 0.924 0.760
F 0.572 0.337 0.760
F 0.572 0.924 0.760
F 0.188 0.337 0.760

Summary:
density of states at the Fermi level = 0.00 states/eV/atom
magnetization = 3.0 μB/f.u.
total energy = -5.450 eV/atom
volume = 366.3 Å³ per cell